(1)
VASP calculation (PBE-GGA) on a geometry-optimized TbTc4C2 structure.

a b c (Å): 3.910 3.946 7.037
angles (deg): 106.28 90.00 90.00
Fractional coordinates of all 7 atoms:
C: 0.500 0.371 0.741
Tc: 0.000 0.683 0.367
Tc: 0.000 0.317 0.633
Tc: 0.500 0.823 0.646
C: 0.500 0.629 0.259
Tb: 0.000 0.000 0.000
Tc: 0.500 0.177 0.354

SG	Cmmm
formation energy	0.0493	eV/atom
uncorrected energy	-64.20	eV/cell
magnetic moment	0.0	μB/cell
density of states at the Fermi level	1.8	states/eV per cell

(2)
VASP calculation (PBE-GGA) on a geometry-optimized Sm2HoIn3Hg6 structure.

a b c (Å): 4.265 4.265 20.295
angles (deg): 90.00 90.00 90.00
Fractional coordinates of all 12 atoms:
In: 0.000 0.000 0.281
Hg: 0.000 0.000 0.137
Hg: 0.000 0.500 0.389
Sm: 0.500 0.500 0.218
Hg: 0.500 0.000 0.389
Sm: 0.500 0.500 0.782
In: 0.000 0.000 0.719
Hg: 0.000 0.500 0.611
Hg: 0.500 0.000 0.611
Ho: 0.500 0.500 0.500
In: 0.000 0.000 0.000
Hg: 0.000 0.000 0.863

SG	P4/mmm
formation energy	-0.0753	eV/atom
uncorrected energy	-24.95	eV/cell
magnetic moment	0.0	μB/cell
density of states at the Fermi level	8.0	states/eV per cell

(3)
VASP calculation (PBE-GGA) on a geometry-optimized TiZnPd structure.

a b c (Å): 2.725 4.403 4.403
angles (deg): 120.00 90.00 90.00
Fractional coordinates of all 3 atoms:
Zn: 0.500 0.667 0.333
Ti: 0.000 0.000 0.000
Pd: 0.500 0.333 0.667

SG	P-6m2
formation energy	-0.4319	eV/atom
uncorrected energy	-15.66	eV/cell
magnetic moment	0.0	μB/cell
density of states at the Fermi level	2.2	states/eV per cell

(4)
VASP calculation (PBE-GGA) on a geometry-optimized Ba2NaCd12In3 structure.

a b c (Å): 9.258 9.258 9.258
angles (deg): 64.27 64.27 64.27
Fractional coordinates of all 18 atoms:
Cd: 0.011 0.355 0.355
Cd: 0.989 0.645 0.645
In: 0.500 0.000 0.000
Cd: 0.645 0.645 0.989
Na: 0.000 0.000 0.000
Ba: 0.406 0.406 0.406
In: 0.000 0.000 0.500
In: 0.000 0.500 0.000
Cd: 0.853 0.853 0.357
Cd: 0.357 0.853 0.853
Cd: 0.355 0.355 0.011
Cd: 0.147 0.643 0.147
Cd: 0.645 0.989 0.645
Cd: 0.355 0.011 0.355
Ba: 0.594 0.594 0.594
Cd: 0.643 0.147 0.147
Cd: 0.147 0.147 0.643
Cd: 0.853 0.357 0.853

SG	R-3m
formation energy	0.1267	eV/atom
uncorrected energy	-22.08	eV/cell
magnetic moment	0.0	μB/cell
density of states at the Fermi level	12.8	states/eV per cell

(5)
VASP calculation (PBE-GGA) on a geometry-optimized TiW3N structure.

a b c (Å): 4.156 4.156 4.156
angles (deg): 90.00 90.00 90.00
Fractional coordinates of all 5 atoms:
Ti: 0.500 0.500 0.500
W: 0.500 0.000 0.000
W: 0.000 0.000 0.500
N: 0.000 0.000 0.000
W: 0.000 0.500 0.000

SG	Pm-3m
relative energy among the computed polymorphs	0.0000	eV per atom
uncorrected energy	-55.29	eV/cell
magnetic moment	0.0	μB/cell
density of states at the Fermi level	4.6	states/eV per cell
uncorrected formation energy	-0.04	eV per atom

(6)
VASP calculation (PBE-GGA) on a geometry-optimized AlTl2Bi structure.

a b c (Å): 5.456 5.456 5.456
angles (deg): 60.00 60.00 60.00
Fractional coordinates of all 4 atoms:
Tl: 0.250 0.250 0.250
Al: 0.000 0.000 0.000
Bi: 0.500 0.500 0.500
Tl: 0.750 0.750 0.750

SG	Fm-3m
relative energy among the computed polymorphs	0.0000	eV per atom
formation energy	0.2112	eV/atom
uncorrected energy	-11.51	eV/cell
magnetic moment	0.0	μB/cell
density of states at the Fermi level	2.1	states/eV per cell

(7)
VASP calculation (PBE-GGA) on a geometry-optimized BaRe2Ru structure.

a b c (Å): 2.867 2.867 9.318
angles (deg): 90.00 90.00 90.00
Fractional coordinates of all 4 atoms:
Ru: 0.500 0.500 0.250
Re: 0.000 0.000 0.443
Ba: 0.500 0.500 0.750
Re: 0.000 0.000 0.057

SG	P4/mmm
relative energy among the computed polymorphs	0.3624	eV per atom
formation energy	0.9408	eV/atom
uncorrected energy	-32.33	eV/cell
magnetic moment	0.0	μB/cell
density of states at the Fermi level	5.0	states/eV per cell

(8)
VASP calculation (PBE-GGA) on a geometry-optimized Te2PtI structure.

a b c (Å): 9.709 4.026 13.616
angles (deg): 90.00 90.00 90.00
Fractional coordinates of all 16 atoms:
I: 0.406 0.750 0.109
Te: 0.857 0.750 0.062
Te: 0.143 0.250 0.938
I: 0.094 0.250 0.609
Te: 0.646 0.750 0.292
Pt: 0.516 0.250 0.381
Te: 0.146 0.750 0.208
Te: 0.643 0.250 0.562
Te: 0.357 0.750 0.438
Pt: 0.484 0.750 0.619
Te: 0.354 0.250 0.708
Te: 0.854 0.250 0.792
I: 0.594 0.250 0.891
I: 0.906 0.750 0.391
Pt: 0.984 0.750 0.881
Pt: 0.016 0.250 0.119

SG	Pnma
uncorrected energy	-58.83	eV/cell
magnetic moment	0.0	μB/cell
density of states at the Fermi level	0.8	states/eV per cell
uncorrected formation energy	-0.21	eV per atom

(9)
VASP calculation (PBE-GGA) on a geometry-optimized BaGdMg2 structure.

a b c (Å): 5.765 5.765 5.765
angles (deg): 60.00 60.00 60.00
Site moments in Bohr magnetons follow the coordinates.
Fractional coordinates of all 4 atoms:
Ba: 0.500 0.500 0.500  0.02
Gd: 0.000 0.000 0.000  7.13
Mg: 0.750 0.750 0.750  -0.01
Mg: 0.250 0.250 0.250  -0.01

SG	Fm-3m
relative energy among the computed polymorphs	0.0756	eV per atom
formation energy	0.0275	eV/atom
uncorrected energy	-19.08	eV/cell
magnetic moment	7.5	μB/cell
density of states at the Fermi level	6.4	states/eV per cell

(10)
VASP calculation (PBE-GGA) on a geometry-optimized ZrTa2Al structure.

a b c (Å): 10.129 10.129 10.129
angles (deg): 16.88 16.88 16.88
Fractional coordinates of all 4 atoms:
Zr: 0.497 0.497 0.497
Ta: 0.003 0.003 0.003
Ta: 0.253 0.253 0.253
Al: 0.747 0.747 0.747

SG	R3m
formation energy	0.0662	eV/atom
uncorrected energy	-35.73	eV/cell
magnetic moment	0.0	μB/cell
density of states at the Fermi level	4.1	states/eV per cell

(11)
VASP calculation (PBE-GGA) on a geometry-optimized Er4TcI5 structure.

a b c (Å): 3.938 9.390 9.941
angles (deg): 103.16 101.42 90.00
Fractional coordinates of all 10 atoms:
Er: 0.000 0.219 0.000
Er: 0.634 0.068 0.268
I: 0.500 0.500 0.000
Er: 0.366 0.932 0.732
Tc: 0.500 0.000 0.000
I: 0.833 0.670 0.665
Er: 0.000 0.781 0.000
I: 0.167 0.330 0.335
I: 0.827 0.160 0.655
I: 0.173 0.840 0.345

SG	C2/m
uncorrected energy	-45.57	eV/cell
magnetic moment	0.0	μB/cell
density of states at the Fermi level	4.4	states/eV per cell
uncorrected formation energy	-0.92	eV per atom

(12)
VASP calculation (PBE-GGA) on a geometry-optimized LiCdAg3 structure.

a b c (Å): 4.820 5.785 7.087
angles (deg): 90.00 69.92 90.00
Fractional coordinates of all 10 atoms:
Ag: 0.812 0.002 0.877
Ag: 0.188 0.502 0.123
Ag: 0.812 0.498 0.877
Ag: 0.003 0.750 0.497
Li: 0.382 0.250 0.733
Ag: 0.188 0.998 0.123
Cd: 0.617 0.250 0.265
Li: 0.618 0.750 0.267
Ag: 0.997 0.250 0.503
Cd: 0.383 0.750 0.735

SG	P2_1/m
relative energy among the computed polymorphs	0.0539	eV per atom
formation energy	-0.0877	eV/atom
uncorrected energy	-23.64	eV/cell
magnetic moment	0.0	μB/cell
density of states at the Fermi level	2.9	states/eV per cell

(13)
VASP calculation (PBE-GGA) on a geometry-optimized In2TeCl structure.

a b c (Å): 6.688 6.015 13.756
angles (deg): 89.99 90.01 90.00
Fractional coordinates of all 16 atoms:
In: 0.233 0.000 0.150
Te: 0.720 0.000 0.624
Cl: 0.821 0.500 0.354
In: 0.767 0.500 0.650
Te: 0.280 0.000 0.376
Cl: 0.821 0.000 0.146
In: 0.233 0.500 0.350
In: 0.222 0.000 0.616
Te: 0.721 0.500 0.876
In: 0.767 0.000 0.850
In: 0.778 0.500 0.116
In: 0.222 0.500 0.884
Te: 0.279 0.500 0.124
Cl: 0.179 0.000 0.854
In: 0.778 0.000 0.384
Cl: 0.179 0.500 0.646

SG	Pmna
relative energy among the computed polymorphs	0.0592	eV per atom
uncorrected energy	-49.65	eV/cell
magnetic moment	0.0	μB/cell
density of states at the Fermi level	4.1	states/eV per cell
uncorrected formation energy	-0.49	eV per atom

(14)
VASP calculation (PBE-GGA) on a geometry-optimized KCdFe4 structure.

a b c (Å): 5.216 5.216 5.216
angles (deg): 60.00 60.00 60.00
Site moments in Bohr magnetons follow the coordinates.
Fractional coordinates of all 6 atoms:
Fe: 0.375 0.875 0.375  2.72
Fe: 0.375 0.375 0.375  2.72
Cd: 0.000 0.000 0.000  -0.05
Fe: 0.875 0.375 0.375  2.72
Fe: 0.375 0.375 0.875  2.72
K: 0.750 0.750 0.750  -0.01

SG	F-43m
formation energy	0.6704	eV/atom
uncorrected energy	-31.84	eV/cell
magnetic moment	10.9	μB/cell
density of states at the Fermi level	6.5	states/eV per cell

(15)
VASP calculation (PBE-GGA) on a geometry-optimized AcPS3 structure.

a b c (Å): 4.710 4.710 4.710
angles (deg): 90.00 90.00 90.00
Fractional coordinates of all 5 atoms:
S: 0.000 0.500 0.000
S: 0.000 0.000 0.500
S: 0.500 0.000 0.000
Ac: 0.500 0.500 0.500
P: 0.000 0.000 0.000

SG	Pm-3m
relative energy among the computed polymorphs	0.2003	eV per atom
uncorrected energy	-26.84	eV/cell
magnetic moment	0.0	μB/cell
density of states at the Fermi level	1.0	states/eV per cell
uncorrected formation energy	-0.99	eV per atom

(16)
VASP calculation (PBE-GGA) on a geometry-optimized MnCo2Ru structure.

a b c (Å): 4.418 4.418 4.416
angles (deg): 132.18 132.18 69.97
Site moments in Bohr magnetons follow the coordinates.
Fractional coordinates of all 4 atoms:
Ru: 0.750 0.250 0.500  -0.21
Co: 0.000 0.000 0.000  0.58
Mn: 0.500 0.500 0.000  1.85
Co: 0.250 0.750 0.500  0.52

SG	I-4m2
relative energy among the computed polymorphs	0.0405	eV per atom
formation energy	0.0959	eV/atom
uncorrected energy	-32.27	eV/cell
magnetic moment	2.8	μB/cell
density of states at the Fermi level	5.9	states/eV per cell

(17)
VASP calculation (PBE-GGA) on a geometry-optimized CaEu2O3 structure.

a b c (Å): 6.012 6.012 5.998
angles (deg): 90.00 90.00 120.07
Site moments in Bohr magnetons follow the coordinates.
Fractional coordinates of all 12 atoms:
O: 0.500 0.500 0.500  -0.06
Eu: 0.500 0.167 0.250  6.80
Ca: 0.835 0.835 0.250  0.05
Ca: 0.165 0.165 0.750  0.05
O: 0.839 0.161 0.000  -0.06
Eu: 0.833 0.500 0.750  6.80
Eu: 0.500 0.833 0.750  6.80
Eu: 0.167 0.500 0.250  6.80
O: 0.161 0.839 0.000  -0.06
O: 0.161 0.839 0.500  -0.06
O: 0.500 0.500 0.000  -0.06
O: 0.839 0.161 0.500  -0.06

SG	Cmcm
relative energy among the computed polymorphs	0.0703	eV per atom
uncorrected energy	-107.73	eV/cell
magnetic moment	28.0	μB/cell
density of states at the Fermi level	25.4	states/eV per cell
uncorrected formation energy	-2.74	eV per atom

(18)
VASP calculation (PBE-GGA) on a geometry-optimized LaTmTlPd structure.

a b c (Å): 5.286 5.286 5.286
angles (deg): 60.00 60.00 60.00
Fractional coordinates of all 4 atoms:
Tm: 0.750 0.750 0.750
La: 0.250 0.250 0.250
Tl: 0.000 0.000 0.000
Pd: 0.500 0.500 0.500

SG	F-43m
formation energy	-0.5050	eV/atom
uncorrected energy	-18.98	eV/cell
magnetic moment	0.0	μB/cell
density of states at the Fermi level	4.0	states/eV per cell

(19)
VASP calculation (PBE-GGA) on a geometry-optimized ZnPd2SBr structure.

a b c (Å): 4.759 4.973 4.759
angles (deg): 90.00 90.00 90.00
Fractional coordinates of all 5 atoms:
Pd: 0.000 0.000 0.500
Zn: 0.000 0.500 0.000
S: 0.500 0.500 0.500
Br: 0.000 0.000 0.000
Pd: 0.500 0.000 0.000

SG	P4/mmm
uncorrected energy	-13.76	eV/cell
magnetic moment	0.0	μB/cell
density of states at the Fermi level	3.3	states/eV per cell
uncorrected formation energy	0.74	eV per atom

(20)
VASP calculation (PBE-GGA) on a geometry-optimized ZnIrBr3 structure.

a b c (Å): 5.089 5.089 5.089
angles (deg): 90.00 90.00 90.00
Site moments in Bohr magnetons follow the coordinates.
Fractional coordinates of all 5 atoms:
Br: 0.000 0.500 0.000  0.07
Br: 0.000 0.000 0.500  0.05
Ir: 0.500 0.500 0.500  2.14
Br: 0.500 0.000 0.000  0.05
Zn: 0.000 0.000 0.000  -0.01

SG	Pm-3m
relative energy among the computed polymorphs	0.5181	eV per atom
uncorrected energy	-11.16	eV/cell
magnetic moment	2.5	μB/cell
density of states at the Fermi level	8.1	states/eV per cell
uncorrected formation energy	0.80	eV per atom